# 1
The following is a DFT calculation (PBE-GGA) of a geometry-optimized Pr2CdBr structure.

Cell lengths 3.597, 3.597, 8.778 Å; angles 90.00, 90.00, 90.00 degrees
Sites, in units of the cell vectors:
1 Pr 0.000 0.000 0.244
2 Pr 0.000 0.000 0.756
3 Cd 0.500 0.500 0.000
4 Br 0.500 0.500 0.500

- energy relative to the elements, uncorrected (eV/atom) = -0.66
- SG = No. 123
- Fermi-level density of states (states/eV per atom) = 1.063



# 2
The following is a DFT calculation (PBE-GGA) of a geometry-optimized AlSb2Rh structure.

Cell lengths 4.921, 4.921, 3.385 Å; angles 90.00, 90.00, 101.87 degrees
Sites, in units of the cell vectors:
1 Al 0.000 0.000 0.000
2 Sb 0.000 0.500 0.500
3 Sb 0.500 0.000 0.500
4 Rh 0.500 0.500 0.000

- energy relative to the elements, uncorrected (eV/atom) = 0.08
- SG = No. 65
- Fermi-level density of states (states/eV per atom) = 0.674



# 3
The following is a DFT calculation (PBE-GGA) of a geometry-optimized Pm6Sm7Ho16 structure.

Cell lengths 11.090, 11.090, 11.090 Å; angles 60.00, 60.00, 60.00 degrees
Sites, in units of the cell vectors:
1 Pm 0.223 0.223 0.777
2 Pm 0.223 0.777 0.223
3 Pm 0.223 0.777 0.777
4 Pm 0.777 0.223 0.223
5 Pm 0.777 0.223 0.777
6 Pm 0.777 0.777 0.223
7 Sm 0.000 0.000 0.000
8 Sm 0.000 0.000 0.500
9 Sm 0.000 0.500 0.000
10 Sm 0.000 0.500 0.500
11 Sm 0.500 0.000 0.000
12 Sm 0.500 0.000 0.500
13 Sm 0.500 0.500 0.000
14 Ho 0.150 0.150 0.150
15 Ho 0.150 0.150 0.551
16 Ho 0.150 0.551 0.150
17 Ho 0.158 0.614 0.614
18 Ho 0.386 0.386 0.386
19 Ho 0.386 0.386 0.842
20 Ho 0.386 0.842 0.386
21 Ho 0.449 0.850 0.850
22 Ho 0.551 0.150 0.150
23 Ho 0.614 0.158 0.614
24 Ho 0.614 0.614 0.158
25 Ho 0.614 0.614 0.614
26 Ho 0.842 0.386 0.386
27 Ho 0.850 0.449 0.850
28 Ho 0.850 0.850 0.449
29 Ho 0.850 0.850 0.850

- SG = No. 225
- ΔH_f (0 K) (eV per atom) = 0.185
- Fermi-level density of states (states/eV per atom) = 1.611



| no. | final energy (eV per atom) |
| --- | --- |
| 1 | -3.702 |
| 2 | -4.759 |
| 3 | -4.463 |